No. 1
5
Lattice="4.961 0.000 0.000 0.000 4.961 0.000 0.000 0.000 4.961" Properties=species:S:1:pos:R:3 comment="meta-GGA SCAN CrAuBr3, single point on PBEsol structure" sg=Pm-3m m_tot_mub_per_fu=3.641 n_ef_per_ev_cell=1.12 dft_energy_ev_per_fu=-146.69 pbc="T T T"
Cr 0.000 0.000 0.000
Au 2.481 2.481 2.481
Br 0.000 0.000 2.481
Br 0.000 2.481 0.000
Br 2.481 0.000 0.000

No. 2
4
Lattice="-1.505 2.212 6.185 1.505 -2.212 6.185 1.505 2.212 -6.185" Properties=species:S:1:pos:R:3 comment="meta-GGA SCAN CrAu2Br, single point on PBEsol structure" sg=Imm2 m_tot_mub_per_fu=3.425 n_ef_per_ev_cell=0.72 dft_energy_ev_per_fu=-176.37 polymorph_energy_mev_per_atom=71 pbc="T T T"
Cr 0.000 0.000 0.000
Au 1.505 0.000 2.271
Au 0.000 0.000 6.880
Br 0.000 2.212 4.244

No. 3
4
Lattice="3.087 0.000 0.000 0.000 3.087 0.000 0.000 0.000 7.736" Properties=species:S:1:pos:R:3 comment="meta-GGA SCAN CrAu2Br, single point on PBEsol structure" sg=P4/mmm m_tot_mub_per_fu=3.315 n_ef_per_ev_cell=3.06 dft_energy_ev_per_fu=-175.63 polymorph_energy_mev_per_atom=256 pbc="T T T"
Cr 0.000 0.000 0.000
Au 1.544 1.544 1.627
Au 1.544 1.544 6.109
Br 0.000 0.000 3.868

No. 4
5
Lattice="-2.403 2.403 4.956 2.403 -2.403 4.956 2.403 2.403 -4.956" Properties=species:S:1:pos:R:3 comment="meta-GGA SCAN Cr2AuBr2, single point on PBEsol structure" sg=I4/mmm m_tot_mub_per_fu=9.000 n_ef_per_ev_cell=2.76 dft_energy_ev_per_fu=-144.46 pbc="T T T"
Cr 2.403 0.000 2.478
Cr 0.000 2.403 2.478
Au 0.000 0.000 0.000
Br 0.000 0.000 3.423
Br 0.000 0.000 6.488

No. 5
3
Lattice="3.480 0.000 0.000 -1.740 3.013 0.000 0.000 0.000 5.838" Properties=species:S:1:pos:R:3 comment="meta-GGA SCAN CrAuBr, single point on PBEsol structure" sg=P3m1 m_tot_mub_per_fu=3.998 n_ef_per_ev_cell=2.20 dft_energy_ev_per_fu=-107.73 polymorph_energy_mev_per_atom=0 pbc="T T T"
Cr 0.000 0.000 0.000
Au 1.740 1.004 4.161
Br 0.000 2.009 1.636

No. 6
3
Lattice="0.000 3.248 3.248 3.248 0.000 3.248 3.248 3.248 0.000" Properties=species:S:1:pos:R:3 comment="meta-GGA SCAN CrAuBr, single point on PBEsol structure" sg=F-43m m_tot_mub_per_fu=4.569 n_ef_per_ev_cell=1.25 dft_energy_ev_per_fu=-105.88 polymorph_energy_mev_per_atom=617 pbc="T T T"
Cr 0.000 0.000 0.000
Au 4.872 4.872 4.872
Br 3.248 3.248 3.248